# 1
VASP calculation (PBE) on crystalline ScCr3 at its relaxed geometry.

a = 5.879 Å, b = 7.522 Å, c = 5.338 Å
α = 90.00°, β = 90.00°, γ = 90.00°
Fractional positions:
Cr 0.834 0.548 0.094
Cr 0.601 0.750 0.332
Cr 0.166 0.452 0.906
Cr 0.166 0.048 0.906
Cr 0.334 0.952 0.406
Cr 0.834 0.952 0.094
Cr 0.334 0.548 0.406
Cr 0.399 0.250 0.668
Cr 0.101 0.750 0.168
Cr 0.899 0.250 0.832
Cr 0.666 0.048 0.594
Cr 0.666 0.452 0.594
Sc 0.963 0.750 0.649
Sc 0.037 0.250 0.351
Sc 0.463 0.750 0.851
Sc 0.537 0.250 0.149

Output
The value obtained for the density of states at the Fermi level is 0.968 states/eV per atom. Its symmetry is Pnma (62). Its formation energy is 1.4 eV/f.u. For the volume, the calculation gives 236.04 Å³/cell.


# 2
VASP calculation (PBE) on crystalline Rb3LiPa2Te6 at its relaxed geometry.

a = 7.922 Å, b = 7.922 Å, c = 8.901 Å
α = 98.50°, β = 98.50°, γ = 120.01°
Each line ends with the local moment (μB).
Fractional positions:
Rb 0.163 0.837 0.500  0.00
Rb 0.500 0.500 0.500  0.00
Rb 0.837 0.163 0.500  0.00
Te 0.408 0.066 0.198  -0.03
Te 0.276 0.276 0.803  -0.03
Te 0.934 0.592 0.802  -0.03
Te 0.066 0.408 0.198  -0.03
Te 0.592 0.934 0.802  -0.03
Te 0.724 0.724 0.197  -0.03
Pa 0.667 0.333 0.000  1.05
Pa 0.333 0.667 0.000  1.05
Li 0.000 0.000 0.000  0.00

Output
The value obtained for the density of states at the Fermi level is 1.013 states/eV per atom. Its symmetry is C2/m (12). For the volume, the calculation gives 461.99 Å³/cell. The value obtained for the energy relative to the elements, uncorrected is -0.990 eV/atom.


# 3
VASP calculation (PBE) on crystalline NaAuOF2 at its relaxed geometry.

a = 4.035 Å, b = 4.035 Å, c = 4.366 Å
α = 90.00°, β = 90.00°, γ = 90.00°
Each line ends with the local moment (μB).
Fractional positions:
Au 0.500 0.500 0.500  0.35
F 0.000 0.500 0.000  0.07
F 0.500 0.000 0.000  0.07
Na 0.000 0.000 0.000  -0.01
O 0.000 0.000 0.500  -0.05

Output
The value obtained for the density of states at the Fermi level is 1.757 states/eV per atom. Its symmetry is P4/mmm (123). For the volume, the calculation gives 71.08 Å³/cell. The value obtained for the energy relative to the elements, uncorrected is -0.312 eV/atom. The calculation puts the energy above the most stable polymorph in this dataset at 0.7324 eV/atom.


# 4
VASP calculation (PBE) on crystalline LaGd2Mn at its relaxed geometry.

a = 3.619 Å, b = 3.619 Å, c = 8.830 Å
α = 90.00°, β = 90.00°, γ = 90.00°
Each line ends with the local moment (μB).
Fractional positions:
Gd 0.000 0.000 0.196  6.95
Gd 0.000 0.000 0.804  6.95
La 0.500 0.500 0.500  0.13
Mn 0.500 0.500 0.000  3.44

Output
The value obtained for the density of states at the Fermi level is 1.557 states/eV per atom. Its symmetry is P4/mmm (123). Its formation energy is 0.7 eV/f.u. For the volume, the calculation gives 115.64 Å³/cell.


# 5
VASP calculation (PBE) on crystalline NaCo at its relaxed geometry.

a = 5.379 Å, b = 13.594 Å, c = 8.039 Å
α = 90.00°, β = 90.00°, γ = 90.00°
Each line ends with the local moment (μB).
Fractional positions:
Co 0.250 0.331 0.750  1.67
Co 0.750 0.831 0.750  1.67
Co 0.250 0.669 0.250  1.67
Co 0.500 0.919 0.500  1.67
Co 0.500 0.581 0.000  1.67
Co 0.500 0.419 0.000  1.67
Co 0.250 0.831 0.250  1.67
Co 0.000 0.919 0.000  1.67
Co 0.250 0.169 0.750  1.67
Co 0.750 0.331 0.250  1.67
Co 0.500 0.081 0.500  1.67
Co 0.000 0.419 0.500  1.67
Co 0.000 0.081 0.000  1.67
Co 0.750 0.669 0.750  1.67
Co 0.750 0.169 0.250  1.67
Co 0.000 0.581 0.500  1.67
Na 0.000 0.500 0.161  -0.02
Na 0.000 0.000 0.661  -0.02
Na 0.500 0.000 0.839  -0.02
Na 0.500 0.500 0.339  -0.02
Na 0.750 0.250 0.589  -0.02
Na 0.250 0.250 0.411  -0.02
Na 0.750 0.750 0.089  -0.02
Na 0.250 0.750 0.589  -0.02
Na 0.000 0.000 0.339  -0.02
Na 0.250 0.750 0.911  -0.02
Na 0.750 0.250 0.911  -0.02
Na 0.500 0.000 0.161  -0.02
Na 0.500 0.500 0.661  -0.02
Na 0.750 0.750 0.411  -0.02
Na 0.000 0.500 0.839  -0.02
Na 0.250 0.250 0.089  -0.02

Output
The value obtained for the density of states at the Fermi level is 1.496 states/eV per atom. Its symmetry is Fddd (70). Its formation energy is 1.5 eV/f.u. For the volume, the calculation gives 587.82 Å³/cell.


# 6
VASP calculation (PBE) on crystalline K2InPPd at its relaxed geometry.

a = 6.163 Å, b = 5.037 Å, c = 6.163 Å
α = 90.00°, β = 90.00°, γ = 90.00°
Each line ends with the local moment (μB).
Fractional positions:
In 0.000 0.500 0.000  0.01
Pd 0.500 0.500 0.500  0.13
P 0.000 0.000 0.000  0.05
K 0.500 0.000 0.000  0.01
K 0.000 0.000 0.500  0.01

Output
The value obtained for the density of states at the Fermi level is 0.812 states/eV per atom. Its symmetry is P4/mmm (123). Its formation energy is 1.4 eV/f.u. For the volume, the calculation gives 191.30 Å³/cell.


# 7
VASP calculation (PBE) on crystalline SiSb2Au2 at its relaxed geometry.

a = 7.768 Å, b = 7.768 Å, c = 3.823 Å
α = 90.00°, β = 90.00°, γ = 90.00°
Fractional positions:
Sb 0.817 0.683 0.000
Sb 0.183 0.317 0.000
Sb 0.317 0.817 0.000
Sb 0.683 0.183 0.000
Au 0.127 0.627 0.500
Au 0.373 0.127 0.500
Au 0.627 0.873 0.500
Au 0.873 0.373 0.500
Si 0.000 0.000 0.000
Si 0.500 0.500 0.000

Output
The value obtained for the density of states at the Fermi level is 0.490 states/eV per atom. Its symmetry is P4/mbm (127). For the volume, the calculation gives 230.68 Å³/cell. The value obtained for the energy relative to the elements, uncorrected is 0.314 eV/atom. The calculation puts the energy above the most stable polymorph in this dataset at 0.0531 eV/atom.


# 8
VASP calculation (PBE) on crystalline La3NdTc at its relaxed geometry.

a = 7.221 Å, b = 6.998 Å, c = 13.140 Å
α = 90.00°, β = 88.63°, γ = 90.00°
Fractional positions:
Tc 0.930 0.737 0.866
Tc 0.930 0.263 0.366
Tc 0.070 0.263 0.134
Tc 0.070 0.737 0.634
La 0.383 0.759 0.539
La 0.617 0.241 0.461
La 0.752 0.499 0.716
La 0.114 0.748 0.047
La 0.383 0.241 0.039
La 0.248 0.499 0.784
La 0.752 0.501 0.216
La 0.886 0.252 0.953
La 0.114 0.252 0.547
La 0.617 0.759 0.961
La 0.248 0.501 0.284
La 0.886 0.748 0.453
Nd 0.242 0.994 0.785
Nd 0.758 0.994 0.715
Nd 0.242 0.006 0.285
Nd 0.758 0.006 0.215

Output
The value obtained for the density of states at the Fermi level is 1.284 states/eV per atom. Its symmetry is P2/c (13). Its formation energy is 0.1 eV/f.u. For the volume, the calculation gives 663.75 Å³/cell. The calculation puts the energy above the most stable polymorph in this dataset at 0.0000 eV/atom.


# 9
VASP calculation (PBE) on crystalline BaNaNb at its relaxed geometry.

a = 4.749 Å, b = 6.326 Å, c = 13.552 Å
α = 90.00°, β = 90.00°, γ = 90.00°
Fractional positions:
Na 0.243 0.750 0.190
Na 0.757 0.250 0.810
Na 0.257 0.250 0.690
Na 0.743 0.750 0.310
Ba 0.748 0.750 0.976
Ba 0.252 0.250 0.024
Ba 0.752 0.250 0.476
Ba 0.248 0.750 0.524
Nb 0.752 0.250 0.218
Nb 0.248 0.750 0.782
Nb 0.748 0.750 0.718
Nb 0.252 0.250 0.282

Output
The value obtained for the density of states at the Fermi level is 1.100 states/eV per atom. Its symmetry is Pnma (62). Its formation energy is 2.0 eV/f.u. For the volume, the calculation gives 407.09 Å³/cell. The calculation puts the energy above the most stable polymorph in this dataset at 0.3430 eV/atom.


# 10
VASP calculation (PBE) on crystalline LiLaBrN at its relaxed geometry.

a = 3.904 Å, b = 3.904 Å, c = 7.032 Å
α = 73.91°, β = 73.89°, γ = 60.00°
Fractional positions:
Br 0.732 0.995 0.491
Li 0.463 0.726 0.300
N 0.561 0.823 0.007
La 0.928 0.191 0.905

Output
The value obtained for the density of states at the Fermi level is 0.000 states/eV per atom. Its symmetry is R3m (160). For the volume, the calculation gives 87.93 Å³/cell. The value obtained for the energy relative to the elements, uncorrected is -1.380 eV/atom.


# 11
VASP calculation (PBE) on crystalline NaTeIN2 at its relaxed geometry.

a = 4.153 Å, b = 4.153 Å, c = 7.281 Å
α = 90.00°, β = 90.00°, γ = 90.00°
Each line ends with the local moment (μB).
Fractional positions:
Na 0.500 0.500 0.500  0.00
Te 0.000 0.000 0.000  -0.02
N 0.500 0.000 0.000  0.39
N 0.000 0.500 0.000  0.39
I 0.000 0.000 0.500  -0.01

Output
The value obtained for the density of states at the Fermi level is 0.220 states/eV per atom. Its symmetry is P4/mmm (123). For the volume, the calculation gives 125.59 Å³/cell. The value obtained for the energy relative to the elements, uncorrected is 0.837 eV/atom. The calculation puts the energy above the most stable polymorph in this dataset at 0.0000 eV/atom.


# 12
VASP calculation (PBE) on crystalline CaFeI2N at its relaxed geometry.

a = 5.541 Å, b = 5.541 Å, c = 3.601 Å
α = 90.00°, β = 90.00°, γ = 90.00°
Each line ends with the local moment (μB).
Fractional positions:
Fe 0.000 0.000 0.000  0.12
I 0.000 0.500 0.000  0.00
I 0.500 0.000 0.000  0.00
Ca 0.500 0.500 0.500  0.00
N 0.000 0.000 0.500  -0.02

Output
The value obtained for the density of states at the Fermi level is 0.528 states/eV per atom. Its symmetry is P4/mmm (123). For the volume, the calculation gives 110.55 Å³/cell. The value obtained for the energy relative to the elements, uncorrected is -0.197 eV/atom. The calculation puts the energy above the most stable polymorph in this dataset at 0.0000 eV/atom.